NiBiO | GGA+U | optimized geometry

Cell lengths 5.318, 6.816, 6.279 Å; angles 90.00, 108.95, 90.00 degrees
Fractional positions:
1 Ni 0.020 0.000 0.067
2 Ni 0.068 0.380 0.431
3 Ni 0.932 0.880 0.569
4 Ni 0.980 0.500 0.933
5 Bi 0.460 0.247 0.007
6 Bi 0.463 0.654 0.476
7 Bi 0.537 0.154 0.524
8 Bi 0.540 0.747 0.993
9 O 0.082 0.776 0.892
10 O 0.168 0.924 0.391
11 O 0.832 0.424 0.609
12 O 0.918 0.276 0.108

Its crystal system is monoclinic. The calculation puts the total magnetization at 1.25 μB/f.u. The final energy is -0.1497 hartree per atom. As for the space group: No. 4. The density of states at the Fermi level is 3.140 states/eV/cell.